# 1
Density functional theory data (meta-GGA SCAN) for a crystal of YBe relaxed with PBEsol.

```
YBe
1.0
-2.213 -2.155 0.065
0.068 -0.162 -3.084
5.519 -5.656 0.418
Y Be
2 2
direct
0.500 0.000 0.681 Y
0.000 0.500 0.319 Y
0.500 0.000 0.057 Be
0.000 0.500 0.943 Be
```

The crystal system is tetragonal. The calculation puts the formation energy at 0.286 eV/atom. As for the symmetry: P4/nmm (129). The density of states at the Fermi level is 1.84 states/eV/f.u. As for the calculated volume: 75.5 Å³ per cell. For the total magnetization, the calculation gives 0.0 μB per cell.

---

# 2
Density functional theory data (meta-GGA SCAN) for a crystal of Y3Be4 relaxed with PBEsol.

```
Y3Be4
1.0
-2.622 -0.827 1.285
-1.226 -0.386 -2.749
5.850 -11.844 0.731
Be Y
4 3
direct
0.885 0.885 0.771 Be
0.115 0.115 0.229 Be
0.579 0.579 0.159 Be
0.421 0.421 0.841 Be
0.000 0.000 0.000 Y
0.694 0.694 0.389 Y
0.306 0.306 0.611 Y
```

The crystal system is tetragonal. The calculation puts the formation energy at 0.283 eV/atom. As for the symmetry: I4/mmm (139). The density of states at the Fermi level is 6.26 states/eV/f.u. As for the calculated volume: 120.2 Å³ per cell. For the total magnetization, the calculation gives 0.0 μB per cell.